# 1
This record from the Alexandria database describes a relaxed Ac2PuN crystal. The functional is PBE.

Properties
**Raw formation energy**: -187 meV per atom

The structure in CIF format:
```
data_Ac2PuN
_chemical_formula_sum 'Ac6 Pu3 N3'
_symmetry_space_group_name_H-M 'R -3 m'
_symmetry_Int_Tables_number 166
_symmetry_space_group_name_Hall '-R 3 2"'
_cell_length_a 3.7287
_cell_length_b 3.7287
_cell_length_c 31.1680
_cell_angle_alpha 90.00
_cell_angle_beta 90.00
_cell_angle_gamma 120.00
loop_
_atom_site_label
_atom_site_type_symbol
_atom_site_fract_x
_atom_site_fract_y
_atom_site_fract_z
Ac1 Ac 0.0000 0.0000 0.1175
Pu1 Pu 0.0000 0.0000 0.0000
N1 N 0.0000 0.0000 0.5000
```


# 2
This record from the Alexandria database describes a relaxed Pm2PaSe5 crystal. The functional is PBE.

Properties
**Raw formation energy**: -1629 meV per atom
**Energy above the lowest structure with this stoichiometry**: 57 kJ/mol of formula units

The structure in CIF format:
```
data_Pm2PaSe5
_chemical_formula_sum 'Pm8 Pa4 Se20'
_symmetry_space_group_name_H-M 'C m c m'
_symmetry_Int_Tables_number 63
_symmetry_space_group_name_Hall '-C 2c 2'
_cell_length_a 5.6970
_cell_length_b 14.0157
_cell_length_c 13.9730
_cell_angle_alpha 90.00
_cell_angle_beta 90.00
_cell_angle_gamma 90.00
loop_
_atom_site_label
_atom_site_type_symbol
_atom_site_fract_x
_atom_site_fract_y
_atom_site_fract_z
Pm1 Pm 0.0000 0.1464 0.0576
Pa1 Pa 0.0000 0.1990 0.7500
Se1 Se 0.0000 0.0473 0.6224
Se2 Se 0.0000 0.2559 0.2500
Se3 Se 0.0000 0.3144 0.5775
```


| no. | density of states at the Fermi level (states/eV per cell) |
| --- | --- |
| 1 | 42.872 |
| 2 | 15.292 |